1.
Crystalline NaTm2Tl at its relaxed geometry. Source: Alexandria via LeMat-Bulk, functional PBE.

```
NaTm2Tl
1.0
5.0234 0.0000 0.0000
0.0000 5.0234 0.0000
0.0000 0.0000 4.3051
Na Tm Tl
1 2 1
direct
0.0000 0.0000 0.0000
0.0000 0.5000 0.5000
0.5000 0.0000 0.5000
0.5000 0.5000 0.0000
```

DOS(E_F) = 2.01 states/eV/cell
excess energy over the best structure of this formula in the dataset = 0.0004 eV per atom
DFT formation energy = -0.01 eV/atom

2.
Crystalline KRb2NbBr8 at its relaxed geometry. Source: Alexandria via LeMat-Bulk, functional PBE.

```
KRb2NbBr8
1.0
6.8541 0.0000 0.0000
-0.4786 8.0015 0.0000
-0.0995 -0.0491 10.0823
K Rb Nb Br
1 2 1 8
direct
0.0000 0.0000 0.0000
0.4940 0.4943 0.7596
0.5060 0.5057 0.2404
0.0000 0.0000 0.5000
0.1394 0.8166 0.3213
0.1503 0.8251 0.6801
0.3116 0.1926 0.4958
0.3588 0.2524 0.0032
0.6412 0.7476 0.9968
0.6884 0.8074 0.5042
0.8497 0.1749 0.3199
0.8606 0.1834 0.6787
```

raw formation energy = -1.23 eV/atom

3.
Crystalline Be5Cl at its relaxed geometry. Source: Alexandria via LeMat-Bulk, functional PBE.

```
Be5Cl
1.0
3.2679 0.0000 0.0000
0.0000 3.2014 0.0000
0.0000 0.0000 13.9647
Be Cl
10 2
direct
0.0000 0.0000 0.0000
0.0000 0.0000 0.2005
0.0000 0.0000 0.5967
0.0000 0.5000 0.0967
0.0000 0.5000 0.5000
0.0000 0.5000 0.7005
0.5000 0.0000 0.1042
0.5000 0.0000 0.4942
0.5000 0.5000 0.6042
0.5000 0.5000 0.9942
0.5000 0.0000 0.8680
0.5000 0.5000 0.3680
```

DOS(E_F) = 5.82 states/eV/cell
excess energy over the best structure of this formula in the dataset = 0.0000 eV per atom
raw formation energy = 0.33 eV/atom

| no. | final energy (eV/f.u.) | spin magnetization (μB/cell) |
| --- | --- | --- |
| 1 | -12.65 | 0.00 |
| 2 | -41.29 | 0.00 |
| 3 | -18.48 | 0.00 |